Mn2NiSe4: optimized geometry, PBE.

Cell: 7.283 7.283 7.283 Å, 60.00 60.00 60.00°
Positions (direct):
Mn: 0.000 0.000 0.000
Mn: 0.000 0.000 0.500
Mn: 0.000 0.500 0.000
Mn: 0.500 0.000 0.000
Ni: 0.375 0.375 0.375
Ni: 0.625 0.625 0.625
Se: 0.235 0.755 0.755
Se: 0.245 0.245 0.245
Se: 0.245 0.245 0.765
Se: 0.245 0.765 0.245
Se: 0.755 0.235 0.755
Se: 0.755 0.755 0.235
Se: 0.755 0.755 0.755
Se: 0.765 0.245 0.245

Crystal system ... cubic
Symmetry ... Fd-3m (227)
Raw total energy ... -82.23 eV/cell
Uncorrected formation energy ... -3.058 eV per formula unit